## HgMo2F (GGA+U)

Data for crystalline HgMo2F at its relaxed geometry.

Cell lengths 5.655, 5.655, 7.943 Å; angles 69.15, 69.15, 90.00 degrees
Each line ends with the local moment (μB).
Element x y z (fractional)
Hg 0.000 0.000 0.000  0.06
Hg 0.750 0.250 0.500  0.06
Mo 0.875 0.773 0.750  3.95
Mo 0.227 0.625 0.250  3.90
Mo 0.523 0.125 0.250  3.90
Mo 0.375 0.477 0.750  3.96
F 0.250 0.750 0.500  0.03
F 0.500 0.500 0.000  0.02

Summary:
As for the electronic total energy: -28.041 eV/cell. The energy relative to the lowest polymorph listed for this composition is 0.000 eV/atom. The calculation puts the volume at 27.44 Å³/atom. The space group is I-42d.